Density functional theory data (GGA-PBE) for an optimized crystal structure of Te3HPt.

```
data_Te3HPt
_chemical_formula_sum 'Te3 H1 Pt1'
_cell_length_a 4.641
_cell_length_b 4.641
_cell_length_c 4.641
_cell_angle_alpha 90.00
_cell_angle_beta 90.00
_cell_angle_gamma 90.00
_symmetry_space_group_name_H-M 'P 1'
_symmetry_Int_Tables_number 1
loop_
_symmetry_equiv_pos_as_xyz
'x,y,z'
loop_
_atom_site_label
_atom_site_type_symbol
_atom_site_fract_x
_atom_site_fract_y
_atom_site_fract_z
H1 H 0.000 0.000 0.000
Te1 Te 0.000 0.500 0.000
Te2 Te 0.000 0.000 0.500
Te3 Te 0.500 0.000 0.000
Pt1 Pt 0.500 0.500 0.500
```

## Properties
calculated volume: 20.00 Å³/atom
energy: -2.99 eV per atom
energy relative to the lowest polymorph listed for this composition: 0.0 meV per atom
density: 9.61 g/cm3
symmetry: Pm-3m (221)


Density functional theory data (GGA-PBE) for an optimized crystal structure of MgTlN2.

```
data_MgTlN2
_chemical_formula_sum 'Mg1 Tl1 N2'
_cell_length_a 4.153
_cell_length_b 4.153
_cell_length_c 4.153
_cell_angle_alpha 60.00
_cell_angle_beta 60.00
_cell_angle_gamma 60.00
_symmetry_space_group_name_H-M 'P 1'
_symmetry_Int_Tables_number 1
loop_
_symmetry_equiv_pos_as_xyz
'x,y,z'
loop_
_atom_site_label
_atom_site_type_symbol
_atom_site_fract_x
_atom_site_fract_y
_atom_site_fract_z
Tl1 Tl 0.500 0.500 0.500
Mg1 Mg 0.000 0.000 0.000
N1 N 0.250 0.250 0.250
N2 N 0.750 0.750 0.750
```

## Properties
calculated volume: 12.66 Å³/atom
energy: -4.06 eV per atom
raw formation energy: 1.09 eV per atom
density: 8.42 g/cm3
symmetry: Fm-3m (225)


Density functional theory data (GGA-PBE) for an optimized crystal structure of Li4B2O5.

```
data_Li4B2O5
_chemical_formula_sum 'Li8 B4 O10'
_cell_length_a 5.926
_cell_length_b 5.926
_cell_length_c 6.337
_cell_angle_alpha 75.54
_cell_angle_beta 75.54
_cell_angle_gamma 73.42
_symmetry_space_group_name_H-M 'P 1'
_symmetry_Int_Tables_number 1
loop_
_symmetry_equiv_pos_as_xyz
'x,y,z'
loop_
_atom_site_label
_atom_site_type_symbol
_atom_site_fract_x
_atom_site_fract_y
_atom_site_fract_z
Li1 Li 0.330 0.934 0.228
Li2 Li 0.662 0.616 0.003
Li3 Li 0.934 0.330 0.728
Li4 Li 0.616 0.662 0.503
Li5 Li 0.384 0.338 0.497
Li6 Li 0.066 0.670 0.272
Li7 Li 0.338 0.384 0.997
Li8 Li 0.670 0.066 0.772
B1 B 0.944 0.239 0.354
B2 B 0.239 0.944 0.854
B3 B 0.761 0.056 0.146
B4 B 0.056 0.761 0.646
O1 O 0.688 0.846 0.190
O2 O 0.846 0.688 0.690
O3 O 0.736 0.323 0.492
O4 O 0.953 0.047 0.250
O5 O 0.323 0.736 0.992
O6 O 0.677 0.264 0.008
O7 O 0.047 0.953 0.750
O8 O 0.264 0.677 0.508
O9 O 0.154 0.312 0.310
O10 O 0.312 0.154 0.810
```

## Properties
calculated volume: 9.21 Å³/atom
energy: -6.43 eV per atom
energy relative to the lowest polymorph listed for this composition: 0.0 meV per atom
raw formation energy: -2.27 eV per atom
density: 2.12 g/cm3
symmetry: C2/c (15)


Density functional theory data (GGA-PBE) for an optimized crystal structure of Au3Br.

```
data_Au3Br
_chemical_formula_sum 'Au3 Br1'
_cell_length_a 5.260
_cell_length_b 5.260
_cell_length_c 5.260
_cell_angle_alpha 131.83
_cell_angle_beta 131.83
_cell_angle_gamma 70.49
_symmetry_space_group_name_H-M 'P 1'
_symmetry_Int_Tables_number 1
loop_
_symmetry_equiv_pos_as_xyz
'x,y,z'
loop_
_atom_site_label
_atom_site_type_symbol
_atom_site_fract_x
_atom_site_fract_y
_atom_site_fract_z
Au1 Au 0.250 0.750 0.500
Au2 Au 0.500 0.500 0.000
Au3 Au 0.750 0.250 0.500
Br1 Br 0.000 0.000 0.000
```

## Properties
calculated volume: 19.79 Å³/atom
energy: -2.51 eV per atom
energy relative to the lowest polymorph listed for this composition: 256.6 meV per atom
raw formation energy: 0.37 eV per atom
density: 14.07 g/cm3
symmetry: I4/mmm (139)


Density functional theory data (GGA-PBE) for an optimized crystal structure of TiIr2PbN.

```
data_TiIr2PbN
_chemical_formula_sum 'Ti1 Ir2 Pb1 N1'
_cell_length_a 5.044
_cell_length_b 4.132
_cell_length_c 5.044
_cell_angle_alpha 90.00
_cell_angle_beta 90.00
_cell_angle_gamma 90.00
_symmetry_space_group_name_H-M 'P 1'
_symmetry_Int_Tables_number 1
loop_
_symmetry_equiv_pos_as_xyz
'x,y,z'
loop_
_atom_site_label
_atom_site_type_symbol
_atom_site_fract_x
_atom_site_fract_y
_atom_site_fract_z
Pb1 Pb 0.000 0.000 0.000
N1 N 0.000 0.500 0.000
Ir1 Ir 0.000 0.000 0.500
Ir2 Ir 0.500 0.000 0.000
Ti1 Ti 0.500 0.500 0.500
```

## Properties
calculated volume: 21.03 Å³/atom
energy: -5.44 eV per atom
raw formation energy: 2.09 eV per atom
density: 10.32 g/cm3
symmetry: P4/mmm (123)


Density functional theory data (GGA-PBE) for an optimized crystal structure of NiHgS2.

```
data_NiHgS2
_chemical_formula_sum 'Ni1 Hg1 S2'
_cell_length_a 8.871
_cell_length_b 8.871
_cell_length_c 8.871
_cell_angle_alpha 21.84
_cell_angle_beta 21.84
_cell_angle_gamma 21.84
_symmetry_space_group_name_H-M 'P 1'
_symmetry_Int_Tables_number 1
loop_
_symmetry_equiv_pos_as_xyz
'x,y,z'
loop_
_atom_site_label
_atom_site_type_symbol
_atom_site_fract_x
_atom_site_fract_y
_atom_site_fract_z
Ni1 Ni 0.500 0.500 0.500
S1 S 0.878 0.878 0.878
S2 S 0.122 0.122 0.122
Hg1 Hg 0.000 0.000 0.000
```

## Properties
calculated volume: 21.18 Å³/atom
energy: -3.76 eV per atom
raw formation energy: -0.18 eV per atom
density: 6.34 g/cm3
symmetry: R-3m (166)


Density functional theory data (GGA-PBE) for an optimized crystal structure of La2ScAl.

```
data_La2ScAl
_chemical_formula_sum 'La4 Sc2 Al2'
_cell_length_a 5.237
_cell_length_b 6.918
_cell_length_c 7.766
_cell_angle_alpha 126.37
_cell_angle_beta 90.00
_cell_angle_gamma 90.00
_symmetry_space_group_name_H-M 'P 1'
_symmetry_Int_Tables_number 1
loop_
_symmetry_equiv_pos_as_xyz
'x,y,z'
loop_
_atom_site_label
_atom_site_type_symbol
_atom_site_fract_x
_atom_site_fract_y
_atom_site_fract_z
La1 La 0.750 0.253 0.138
La2 La 0.250 0.747 0.862
La3 La 0.750 0.368 0.652
La4 La 0.250 0.632 0.348
Sc1 Sc 0.750 0.820 0.216
Sc2 Sc 0.250 0.180 0.784
Al1 Al 0.750 0.858 0.630
Al2 Al 0.250 0.142 0.370
```

## Properties
calculated volume: 28.32 Å³/atom
energy: -5.18 eV per atom
density: 5.13 g/cm3
symmetry: P2_1/m (11)


Density functional theory data (GGA-PBE) for an optimized crystal structure of WI3N.

```
data_WI3N
_chemical_formula_sum 'W1 I3 N1'
_cell_length_a 5.384
_cell_length_b 5.384
_cell_length_c 5.384
_cell_angle_alpha 90.00
_cell_angle_beta 90.00
_cell_angle_gamma 90.00
_symmetry_space_group_name_H-M 'P 1'
_symmetry_Int_Tables_number 1
loop_
_symmetry_equiv_pos_as_xyz
'x,y,z'
loop_
_atom_site_label
_atom_site_type_symbol
_atom_site_fract_x
_atom_site_fract_y
_atom_site_fract_z
I1 I 0.000 0.500 0.000
I2 I 0.000 0.000 0.500
I3 I 0.500 0.000 0.000
W1 W 0.000 0.000 0.000
N1 N 0.500 0.500 0.500
```

## Properties
calculated volume: 31.21 Å³/atom
energy: -3.33 eV per atom
energy relative to the lowest polymorph listed for this composition: 0.0 meV per atom
raw formation energy: 1.85 eV per atom
density: 6.16 g/cm3
symmetry: Pm-3m (221)


Density functional theory data (GGA-PBE) for an optimized crystal structure of MgCo2Rh.

```
data_MgCo2Rh
_chemical_formula_sum 'Mg1 Co2 Rh1'
_cell_length_a 2.940
_cell_length_b 2.940
_cell_length_c 6.203
_cell_angle_alpha 90.00
_cell_angle_beta 90.00
_cell_angle_gamma 90.00
_symmetry_space_group_name_H-M 'P 1'
_symmetry_Int_Tables_number 1
loop_
_symmetry_equiv_pos_as_xyz
'x,y,z'
loop_
_atom_site_label
_atom_site_type_symbol
_atom_site_fract_x
_atom_site_fract_y
_atom_site_fract_z
Co1 Co 0.000 0.000 0.020
Co2 Co 0.500 0.500 0.215
Mg1 Mg 0.000 0.000 0.495
Rh1 Rh 0.500 0.500 0.770
```

## Properties
calculated volume: 13.40 Å³/atom
energy: -5.83 eV per atom
density: 7.59 g/cm3
symmetry: P4mm (99)


Density functional theory data (GGA-PBE) for an optimized crystal structure of LuP2Rh.

```
data_LuP2Rh
_chemical_formula_sum 'Lu1 P2 Rh1'
_cell_length_a 3.820
_cell_length_b 3.820
_cell_length_c 5.785
_cell_angle_alpha 70.72
_cell_angle_beta 70.72
_cell_angle_gamma 60.00
_symmetry_space_group_name_H-M 'P 1'
_symmetry_Int_Tables_number 1
loop_
_symmetry_equiv_pos_as_xyz
'x,y,z'
loop_
_atom_site_label
_atom_site_type_symbol
_atom_site_fract_x
_atom_site_fract_y
_atom_site_fract_z
P1 P 0.267 0.267 0.198
P2 P 0.733 0.733 0.802
Lu1 Lu 0.500 0.500 0.500
Rh1 Rh 0.000 0.000 0.000
```

## Properties
calculated volume: 16.90 Å³/atom
energy: -6.65 eV per atom
density: 8.35 g/cm3
symmetry: R-3m (166)


Density functional theory data (GGA-PBE) for an optimized crystal structure of BeZnCl2.

```
data_BeZnCl2
_chemical_formula_sum 'Be1 Zn1 Cl2'
_cell_length_a 3.909
_cell_length_b 3.909
_cell_length_c 10.497
_cell_angle_alpha 90.00
_cell_angle_beta 90.00
_cell_angle_gamma 134.14
_symmetry_space_group_name_H-M 'P 1'
_symmetry_Int_Tables_number 1
loop_
_symmetry_equiv_pos_as_xyz
'x,y,z'
loop_
_atom_site_label
_atom_site_type_symbol
_atom_site_fract_x
_atom_site_fract_y
_atom_site_fract_z
Be1 Be 0.500 0.500 0.750
Zn1 Zn 0.500 0.500 0.250
Cl1 Cl 0.000 0.000 0.889
Cl2 Cl 0.000 0.000 0.611
```

## Properties
calculated volume: 28.78 Å³/atom
energy: -2.74 eV per atom
energy relative to the lowest polymorph listed for this composition: 97.1 meV per atom
raw formation energy: -0.56 eV per atom
density: 2.10 g/cm3
symmetry: Cmmm (65)